[1]
Material: TmSc3In4
Method: DFT, PBE
State: relaxed

Lattice parameters (Å, degrees): 5.351 6.725 10.345 90.00 90.00 90.00
Element x y z (fractional)
Sc  0.000  0.000  0.000
Sc  0.603  0.500  0.750
In  0.500  0.757  0.500
Sc  0.385  0.000  0.250
Sc  0.397  0.500  0.250
In  0.115  0.243  0.750
In  0.885  0.243  0.250
In  0.500  0.757  0.000
In  0.885  0.757  0.250
In  0.500  0.243  0.000
Tm  0.000  0.500  0.500
Tm  0.000  0.500  0.000
In  0.115  0.757  0.750
Sc  0.000  0.000  0.500
Sc  0.615  0.000  0.750
In  0.500  0.243  0.500

size of the total moment: 0.001 μB per formula unit
DOS(E_F): 0.72 states/eV/atom
formation energy: -0.416 eV per atom
calculated volume: 186 Å³/f.u.
electronic total energy: -4.719 eV/atom

[2]
Material: KAuSe2
Method: DFT, PBE
State: relaxed

Lattice parameters (Å, degrees): 2.887 2.887 11.763 90.00 90.00 90.00
Element x y z (fractional)
K  0.500  0.500  0.740
Au  0.000  0.000  0.510
Se  0.500  0.500  0.295
Se  0.000  0.000  0.955

size of the total moment: 0.000 μB per formula unit
DOS(E_F): 0.51 states/eV/atom
formation energy (no corrections): 72 meV/atom
calculated volume: 98 Å³/f.u.
electronic total energy: -2.764 eV/atom